(1)
Compound: Zr2Zn2W
Source: Alexandria via LeMat-Bulk
Functional: PBE-GGA
Structure: relaxed

Properties
- Crystal system: tetragonal
- Energy of formation: 18.80 kJ/mol of atoms
- DOS at the Fermi energy: 5.99 states/eV per cell
- Space-group type: I4/mmm, No. 139

Unit cell a=3.413 b=3.413 c=17.069 alpha=90.00 beta=90.00 gamma=90.00
Element x y z (fractional)
Zr  0.000  0.000  0.092
Zr  0.000  0.000  0.908
Zr  0.500  0.500  0.408
Zr  0.500  0.500  0.592
Zn  0.000  0.500  0.250
Zn  0.000  0.500  0.750
Zn  0.500  0.000  0.250
Zn  0.500  0.000  0.750
W  0.000  0.000  0.500
W  0.500  0.500  0.000

---

(2)
Compound: Cs2YCu2S4
Source: Alexandria via LeMat-Bulk
Functional: PBE-GGA
Structure: relaxed

Properties
- Crystal system: monoclinic
- DOS at the Fermi energy: 6.36 states/eV per cell
- E_form (uncorrected): -1119.4 meV per atom
- Space-group type: C2/m, No. 12

Unit cell a=7.704 b=7.704 c=8.108 alpha=107.01 beta=107.01 gamma=30.02
Element x y z (fractional)
Cs  0.136  0.136  0.058
Cs  0.864  0.864  0.942
Y  0.000  0.000  0.500
Cu  0.322  0.322  0.516
Cu  0.678  0.678  0.484
S  0.197  0.197  0.644
S  0.476  0.476  0.716
S  0.524  0.524  0.284
S  0.803  0.803  0.356

---

(3)
Compound: Tb3Sm3Tl2
Source: Alexandria via LeMat-Bulk
Functional: PBE-GGA
Structure: relaxed

Properties
- Crystal system: orthorhombic
- Energy of formation: -18.37 kJ/mol of atoms
- DOS at the Fermi energy: 11.05 states/eV per cell
- Space-group type: Pmmm, No. 47

Unit cell a=4.902 b=4.929 c=9.774 alpha=90.00 beta=90.00 gamma=90.00
Element x y z (fractional)
Tb  0.000  0.000  0.000
Tb  0.000  0.000  0.500
Tb  0.500  0.500  0.000
Sm  0.000  0.500  0.250
Sm  0.000  0.500  0.750
Sm  0.500  0.500  0.500
Tl  0.500  0.000  0.248
Tl  0.500  0.000  0.752

---

(4)
Compound: Tm3In2
Source: Alexandria via LeMat-Bulk
Functional: PBE-GGA
Structure: relaxed

Properties
- Crystal system: tetragonal
- Energy of formation: -17.85 kJ/mol of atoms
- DOS at the Fermi energy: 15.15 states/eV per cell
- Space-group type: I4_1/amd, No. 141

Unit cell a=8.821 b=8.821 c=8.821 alpha=140.22 beta=140.22 gamma=57.52
Element x y z (fractional)
Tm  0.000  0.000  0.000
Tm  0.000  0.000  0.500
Tm  0.000  0.500  0.000
Tm  0.375  0.625  0.750
Tm  0.500  0.000  0.500
Tm  0.625  0.375  0.250
In  0.179  0.429  0.750
In  0.429  0.179  0.250
In  0.571  0.821  0.750
In  0.821  0.571  0.250

---

(5)
Compound: NdSmDy2H
Source: Alexandria via LeMat-Bulk
Functional: PBE-GGA
Structure: relaxed

Properties
- Crystal system: tetragonal
- DOS at the Fermi energy: 5.11 states/eV per cell
- Space-group type: P4/mmm, No. 123
- Uncorrected energy: -4.579 eV per atom

Unit cell a=5.054 b=5.054 c=5.062 alpha=90.00 beta=90.00 gamma=90.00
Element x y z (fractional)
Nd  0.000  0.000  0.000
Sm  0.500  0.500  0.000
Dy  0.000  0.500  0.500
Dy  0.500  0.000  0.500
H  0.500  0.500  0.500

---

(6)
Compound: CeMgTl
Source: Alexandria via LeMat-Bulk
Functional: PBE-GGA
Structure: relaxed

Properties
- Crystal system: orthorhombic
- Energy of formation: -16.25 kJ/mol of atoms
- DOS at the Fermi energy: 21.76 states/eV per cell
- Space-group type: Cmmm, No. 65

Unit cell a=4.576 b=14.777 c=4.553 alpha=90.00 beta=90.00 gamma=90.00
Element x y z (fractional)
Ce  0.000  0.186  0.000
Ce  0.000  0.814  0.000
Ce  0.500  0.314  0.000
Ce  0.500  0.686  0.000
Mg  0.000  0.000  0.500
Mg  0.000  0.500  0.000
Mg  0.500  0.000  0.000
Mg  0.500  0.500  0.500
Tl  0.000  0.360  0.500
Tl  0.000  0.640  0.500
Tl  0.500  0.140  0.500
Tl  0.500  0.860  0.500